# K2AcInTe4 | the Alexandria database | PBE | relaxed
data_K2AcInTe4
_cell_length_a 13.463
_cell_length_b 13.632
_cell_length_c 9.201
_cell_angle_alpha 90.00
_cell_angle_beta 133.09
_cell_angle_gamma 90.00
_space_group_name_H-M_alt 'C 1 2/c 1'
_space_group_IT_number 15
_space_group_name_Hall '-C 2yc'
loop_
_atom_site_label
_atom_site_fract_x
_atom_site_fract_y
_atom_site_fract_z
K1 0.000 0.000 0.000
K2 0.250 0.250 0.000
Ac1 0.250 0.250 0.500
In1 0.000 0.500 0.000
Te1 0.000 0.263 0.010
Te2 0.208 0.497 0.458
# - DFT total energy (eV per atom) = -3.687
# - formation energy without anion corrections (meV/atom) = -986
# - DOS(E_F) (states/eV per atom) = 0.140